Record 1
Nd3Cu2Ge4 | PBE-GGA | optimized geometry

a b c (Å): 5.947 5.947 8.385
angles (deg): 100.23 100.23 41.65
Atoms (fractional coordinates):
Nd 0.000 0.000 0.000
Nd 0.339 0.339 0.332
Nd 0.661 0.661 0.668
Cu 0.389 0.389 0.715
Cu 0.611 0.611 0.285
Ge 0.062 0.062 0.387
Ge 0.286 0.286 0.938
Ge 0.714 0.714 0.062
Ge 0.938 0.938 0.613

Values from the calculation:
total energy = -0.387 Ry per atom
SG = C2/m
calculated formation energy = -6.45 eV/f.u.
D(E_F) = 3.609 states/eV/f.u.


Record 2
Ac3TmMn2N6 | PBE-GGA | optimized geometry

a b c (Å): 5.934 5.934 6.904
angles (deg): 90.00 90.00 120.00
Atoms (fractional coordinates):
Ac 0.000 0.000 0.000
Ac 0.333 0.667 0.668
Ac 0.667 0.333 0.332
Tm 0.000 0.000 0.500
Mn 0.333 0.667 0.210
Mn 0.667 0.333 0.790
N 0.173 0.346 0.294
N 0.173 0.827 0.294
N 0.346 0.173 0.706
N 0.654 0.827 0.294
N 0.827 0.173 0.706
N 0.827 0.654 0.706

Values from the calculation:
total energy = -0.591 Ry per atom
SG = P-3m1
D(E_F) = 1.677 states/eV/f.u.


Record 3
Sr2LiTl6Rh | PBE-GGA | optimized geometry

a b c (Å): 7.447 7.447 7.431
angles (deg): 119.75 119.75 90.04
Atoms (fractional coordinates):
Sr 0.250 0.750 0.000
Sr 0.750 0.250 0.000
Li 0.000 0.000 0.500
Tl 0.243 0.243 0.989
Tl 0.244 0.244 0.501
Tl 0.244 0.756 0.500
Tl 0.756 0.244 0.500
Tl 0.756 0.756 0.499
Tl 0.757 0.757 0.011
Rh 0.500 0.500 0.500

Values from the calculation:
total energy = -0.207 Ry per atom
SG = C2/m
calculated formation energy = -1.33 eV/f.u.
D(E_F) = 7.422 states/eV/f.u.


Record 4
YRu3Cl | PBE-GGA | optimized geometry

a b c (Å): 4.442 4.442 4.442
angles (deg): 90.00 90.00 90.00
Atoms (fractional coordinates):
Y 0.000 0.000 0.000
Ru 0.000 0.500 0.500
Ru 0.500 0.000 0.500
Ru 0.500 0.500 0.000
Cl 0.500 0.500 0.500

Values from the calculation:
total energy = -0.495 Ry per atom
SG = Pm-3m
D(E_F) = 6.571 states/eV/f.u.


Record 5
Y2ZrTl | PBE-GGA | optimized geometry

a b c (Å): 5.544 5.544 3.551
angles (deg): 90.00 90.00 90.00
Atoms (fractional coordinates):
Y 0.000 0.500 0.000
Y 0.500 0.000 0.000
Zr 0.000 0.000 0.500
Tl 0.500 0.500 0.500

Values from the calculation:
total energy = -0.441 Ry per atom
SG = P4/mmm
calculated formation energy = -0.13 eV/f.u.
D(E_F) = 6.692 states/eV/f.u.


Record 6
BaLiCdHg2 | PBE-GGA | optimized geometry

a b c (Å): 4.617 4.617 13.442
angles (deg): 90.00 90.00 90.00
Atoms (fractional coordinates):
Ba 0.000 0.000 0.000
Ba 0.500 0.500 0.500
Li 0.000 0.500 0.250
Li 0.500 0.000 0.750
Cd 0.000 0.500 0.750
Cd 0.500 0.000 0.250
Hg 0.000 0.000 0.384
Hg 0.000 0.000 0.616
Hg 0.500 0.500 0.116
Hg 0.500 0.500 0.884

Values from the calculation:
total energy = -0.106 Ry per atom
SG = I-4m2
calculated formation energy = -1.86 eV/f.u.
D(E_F) = 3.219 states/eV/f.u.


Record 7
Hf2MgIn | PBE-GGA | optimized geometry

a b c (Å): 7.095 7.095 7.095
angles (deg): 90.00 90.00 90.00
Atoms (fractional coordinates):
Hf 0.000 0.000 0.000
Hf 0.000 0.500 0.500
Hf 0.250 0.250 0.250
Hf 0.250 0.750 0.750
Hf 0.500 0.000 0.500
Hf 0.500 0.500 0.000
Hf 0.750 0.250 0.750
Hf 0.750 0.750 0.250
Mg 0.000 0.000 0.500
Mg 0.000 0.500 0.000
Mg 0.500 0.000 0.000
Mg 0.500 0.500 0.500
In 0.250 0.250 0.750
In 0.250 0.750 0.250
In 0.750 0.250 0.250
In 0.750 0.750 0.750

Values from the calculation:
total energy = -0.428 Ry per atom
SG = F-43m
calculated formation energy = 0.95 eV/f.u.
D(E_F) = 4.376 states/eV/f.u.


Record 8
La2Tb2DyY | PBE-GGA | optimized geometry

a b c (Å): 7.115 5.710 9.908
angles (deg): 90.00 90.00 90.00
Atoms (fractional coordinates):
La 0.000 0.000 0.000
La 0.250 0.500 0.175
La 0.500 0.000 0.000
La 0.750 0.500 0.825
Tb 0.250 0.000 0.334
Tb 0.250 0.500 0.834
Tb 0.750 0.000 0.666
Tb 0.750 0.500 0.166
Dy 0.250 0.000 0.659
Dy 0.750 0.000 0.341
Y 0.000 0.500 0.500
Y 0.500 0.500 0.500

Values from the calculation:
total energy = -0.365 Ry per atom
SG = Pmma
calculated formation energy = 0.36 eV/f.u.
D(E_F) = 9.797 states/eV/f.u.


Record 9
TaB2F | PBE-GGA | optimized geometry

a b c (Å): 5.470 5.470 6.081
angles (deg): 90.00 90.00 90.00
Atoms (fractional coordinates):
Ta 0.000 0.000 0.000
Ta 0.000 0.500 0.250
Ta 0.500 0.000 0.750
Ta 0.500 0.500 0.500
B 0.195 0.250 0.625
B 0.250 0.695 0.875
B 0.250 0.805 0.375
B 0.305 0.250 0.125
B 0.695 0.750 0.125
B 0.750 0.195 0.375
B 0.750 0.305 0.875
B 0.805 0.750 0.625
F 0.000 0.000 0.500
F 0.000 0.500 0.750
F 0.500 0.000 0.250
F 0.500 0.500 0.000

Values from the calculation:
total energy = -0.451 Ry per atom
SG = I-42d
D(E_F) = 1.632 states/eV/f.u.


Record 10
MnPIr2 | PBE-GGA | optimized geometry

a b c (Å): 2.848 4.319 9.006
angles (deg): 90.00 90.00 90.00
Atoms (fractional coordinates):
Mn 0.000 0.000 0.000
Mn 0.500 0.500 0.500
P 0.000 0.000 0.500
P 0.500 0.500 0.000
Ir 0.000 0.500 0.208
Ir 0.000 0.500 0.792
Ir 0.500 0.000 0.292
Ir 0.500 0.000 0.708

Values from the calculation:
total energy = -0.603 Ry per atom
SG = Immm
calculated formation energy = -0.53 eV/f.u.
D(E_F) = 3.422 states/eV/f.u.


Record 11
UIr4Pb | PBE-GGA | optimized geometry

a b c (Å): 5.349 5.349 5.349
angles (deg): 60.00 60.00 60.00
Atoms (fractional coordinates):
U 0.000 0.000 0.000
Ir 0.127 0.624 0.624
Ir 0.624 0.127 0.624
Ir 0.624 0.624 0.127
Ir 0.624 0.624 0.624
Pb 0.250 0.250 0.250

Values from the calculation:
total energy = -0.634 Ry per atom
SG = F-43m
calculated formation energy = -1.31 eV/f.u.
D(E_F) = 6.071 states/eV/f.u.


Record 12
Ti3RuPb | PBE-GGA | optimized geometry

a b c (Å): 4.732 4.732 4.732
angles (deg): 90.00 90.00 90.00
Atoms (fractional coordinates):
Ti 0.000 0.000 0.500
Ti 0.000 0.500 0.000
Ti 0.500 0.000 0.000
Ru 0.000 0.000 0.000
Pb 0.500 0.500 0.500

Values from the calculation:
total energy = -0.522 Ry per atom
SG = Pm-3m
calculated formation energy = 1.14 eV/f.u.
D(E_F) = 7.055 states/eV/f.u.


Record 13
SiBSN2 | PBE-GGA | optimized geometry

a b c (Å): 3.172 3.172 6.030
angles (deg): 90.00 90.00 90.00
Atoms (fractional coordinates):
Si 0.000 0.000 0.000
B 0.500 0.500 0.500
S 0.500 0.500 0.000
N 0.000 0.500 0.500
N 0.500 0.000 0.500

Values from the calculation:
total energy = -0.408 Ry per atom
SG = P4/mmm
D(E_F) = 2.231 states/eV/f.u.


Record 14
Rb7Te2H2 | PBE-GGA | optimized geometry

a b c (Å): 8.097 8.097 8.139
angles (deg): 90.00 90.00 91.39
Atoms (fractional coordinates):
Rb 0.000 0.000 0.000
Rb 0.000 0.500 0.243
Rb 0.000 0.500 0.757
Rb 0.500 0.000 0.243
Rb 0.500 0.000 0.757
Rb 0.500 0.500 0.230
Rb 0.500 0.500 0.770
Te 0.249 0.249 0.500
Te 0.751 0.751 0.500
H 0.283 0.717 0.000
H 0.717 0.283 0.000

Values from the calculation:
total energy = -0.163 Ry per atom
SG = Cmmm
D(E_F) = 2.627 states/eV/f.u.


Record 15
Tb2Pr5Sn4 | PBE-GGA | optimized geometry

a b c (Å): 10.246 10.246 6.037
angles (deg): 100.51 100.51 33.63
Atoms (fractional coordinates):
Tb 0.046 0.046 0.291
Tb 0.954 0.954 0.709
Pr 0.207 0.207 0.458
Pr 0.309 0.309 0.018
Pr 0.500 0.500 0.000
Pr 0.691 0.691 0.982
Pr 0.793 0.793 0.542
Sn 0.118 0.118 0.877
Sn 0.379 0.379 0.557
Sn 0.621 0.621 0.443
Sn 0.882 0.882 0.123

Values from the calculation:
total energy = -0.355 Ry per atom
SG = C2/m
calculated formation energy = -4.03 eV/f.u.
D(E_F) = 12.091 states/eV/f.u.


Record 16
TiCoI2 | PBE-GGA | optimized geometry

a b c (Å): 6.850 6.850 6.850
angles (deg): 90.00 90.00 90.00
Atoms (fractional coordinates):
Ti 0.000 0.000 0.000
Ti 0.000 0.500 0.500
Ti 0.500 0.000 0.500
Ti 0.500 0.500 0.000
Co 0.000 0.000 0.500
Co 0.000 0.500 0.000
Co 0.500 0.000 0.000
Co 0.500 0.500 0.500
I 0.250 0.250 0.250
I 0.250 0.250 0.750
I 0.250 0.750 0.250
I 0.250 0.750 0.750
I 0.750 0.250 0.250
I 0.750 0.250 0.750
I 0.750 0.750 0.250
I 0.750 0.750 0.750

Values from the calculation:
total energy = -0.291 Ry per atom
SG = Fm-3m
D(E_F) = 5.324 states/eV/f.u.


Record 17
Zr2MoOs | PBE-GGA | optimized geometry

a b c (Å): 3.287 4.880 8.990
angles (deg): 90.00 90.00 90.00
Atoms (fractional coordinates):
Zr 0.000 0.000 0.250
Zr 0.000 0.000 0.750
Zr 0.500 0.500 0.250
Zr 0.500 0.500 0.750
Mo 0.000 0.500 0.000
Mo 0.500 0.000 0.500
Os 0.000 0.500 0.500
Os 0.500 0.000 0.000

Values from the calculation:
total energy = -0.723 Ry per atom
SG = Immm
calculated formation energy = -0.19 eV/f.u.
D(E_F) = 3.679 states/eV/f.u.


Record 18
Mg2AgAu2 | PBE-GGA | optimized geometry

a b c (Å): 7.756 7.756 3.117
angles (deg): 90.00 90.00 90.00
Atoms (fractional coordinates):
Mg 0.146 0.354 0.000
Mg 0.354 0.854 0.000
Mg 0.646 0.146 0.000
Mg 0.854 0.646 0.000
Ag 0.000 0.000 0.000
Ag 0.500 0.500 0.000
Au 0.151 0.651 0.500
Au 0.349 0.151 0.500
Au 0.651 0.849 0.500
Au 0.849 0.349 0.500

Values from the calculation:
total energy = -0.211 Ry per atom
SG = P4/mbm
calculated formation energy = -1.77 eV/f.u.
D(E_F) = 1.656 states/eV/f.u.


Record 19
Tl5Bi2Au5 | PBE-GGA | optimized geometry

a b c (Å): 5.087 5.087 14.481
angles (deg): 99.15 99.15 60.45
Atoms (fractional coordinates):
Tl 0.000 0.000 0.000
Tl 0.189 0.189 0.572
Tl 0.274 0.274 0.847
Tl 0.726 0.726 0.153
Tl 0.811 0.811 0.428
Bi 0.433 0.433 0.287
Bi 0.567 0.567 0.713
Au 0.099 0.099 0.290
Au 0.364 0.364 0.071
Au 0.500 0.500 0.500
Au 0.636 0.636 0.929
Au 0.901 0.901 0.710

Values from the calculation:
total energy = -0.220 Ry per atom
SG = C2/m
calculated formation energy = 0.01 eV/f.u.
D(E_F) = 4.975 states/eV/f.u.


Record 20
KAlCo2 | PBE-GGA | optimized geometry

a b c (Å): 4.118 4.134 6.584
angles (deg): 90.45 108.01 119.61
Atoms (fractional coordinates):
K 0.000 0.000 0.000
Al 0.358 0.181 0.536
Co 0.643 0.821 0.462
Co 0.981 0.494 0.471

Values from the calculation:
total energy = -0.335 Ry per atom
SG = P1
calculated formation energy = 0.81 eV/f.u.
D(E_F) = 3.448 states/eV/f.u.


Record 21
Cs3K2CeF9 | PBE-GGA | optimized geometry

a b c (Å): 6.915 6.915 8.750
angles (deg): 90.00 90.00 120.00
Atoms (fractional coordinates):
Cs 0.000 0.000 0.000
Cs 0.333 0.667 0.757
Cs 0.667 0.333 0.243
K 0.333 0.667 0.184
K 0.667 0.333 0.816
Ce 0.000 0.000 0.500
F 0.000 0.500 0.000
F 0.146 0.291 0.351
F 0.146 0.854 0.351
F 0.291 0.146 0.649
F 0.500 0.000 0.000
F 0.500 0.500 0.000
F 0.709 0.854 0.351
F 0.854 0.146 0.649
F 0.854 0.709 0.649

Values from the calculation:
total energy = -0.363 Ry per atom
SG = P-3m1


Record 22
CdSi2P | PBE-GGA | optimized geometry

a b c (Å): 3.479 4.015 6.328
angles (deg): 90.00 90.00 90.00
Atoms (fractional coordinates):
Cd 0.000 0.000 0.000
Si 0.500 0.000 0.317
Si 0.500 0.500 0.523
P 0.000 0.500 0.747

Values from the calculation:
total energy = -0.312 Ry per atom
SG = Pmm2
D(E_F) = 1.608 states/eV/f.u.


Record 23
V3AgMo | PBE-GGA | optimized geometry

a b c (Å): 4.562 4.562 4.562
angles (deg): 90.00 90.00 90.00
Atoms (fractional coordinates):
V 0.000 0.000 0.500
V 0.000 0.500 0.000
V 0.500 0.000 0.000
Ag 0.500 0.500 0.500
Mo 0.000 0.000 0.000

Values from the calculation:
total energy = -0.509 Ry per atom
SG = Pm-3m
calculated formation energy = 6.43 eV/f.u.
D(E_F) = 8.609 states/eV/f.u.


Record 24
Sr2Cd2Pd | PBE-GGA | optimized geometry

a b c (Å): 6.300 6.300 12.263
angles (deg): 110.57 110.57 41.16
Atoms (fractional coordinates):
Sr 0.005 0.005 0.163
Sr 0.193 0.193 0.626
Sr 0.807 0.807 0.374
Sr 0.995 0.995 0.837
Cd 0.322 0.322 0.948
Cd 0.475 0.475 0.612
Cd 0.525 0.525 0.388
Cd 0.678 0.678 0.052
Pd 0.308 0.308 0.182
Pd 0.692 0.692 0.818

Values from the calculation:
total energy = -0.187 Ry per atom
SG = C2/m
calculated formation energy = -2.31 eV/f.u.
D(E_F) = 2.688 states/eV/f.u.


Record 25
AcPmH6 | PBE-GGA | optimized geometry

a b c (Å): 6.841 6.841 6.841
angles (deg): 33.38 33.38 33.38
Atoms (fractional coordinates):
Ac 0.000 0.000 0.000
Pm 0.500 0.500 0.500
H 0.130 0.130 0.130
H 0.252 0.252 0.252
H 0.382 0.382 0.382
H 0.618 0.618 0.618
H 0.748 0.748 0.748
H 0.870 0.870 0.870

Values from the calculation:
total energy = -0.305 Ry per atom
SG = R-3m
D(E_F) = 0.214 states/eV/f.u.